# 1
! Re2RuW (GGA-PBE, optimized geometry); values from VASP
&SYSTEM
  ibrav = 0, nat = 4, ntyp = 3
/
ATOMIC_SPECIES
Re 186.21 Re.upf
Ru 101.07 Ru.upf
W 183.84 W.upf
ATOMIC_POSITIONS crystal
Re 0.997 0.997 0.997
Re 0.503 0.503 0.503
Ru 0.250 0.250 0.250
W 0.750 0.750 0.750
CELL_PARAMETERS angstrom
9.299 0.008 0.005
8.886 2.739 0.005
8.886 1.342 2.387
! * crystal system: trigonal

---

# 2
! Re2RuW (GGA-PBE, optimized geometry); values from VASP
&SYSTEM
  ibrav = 0, nat = 4, ntyp = 3
/
ATOMIC_SPECIES
Re 186.21 Re.upf
Ru 101.07 Ru.upf
W 183.84 W.upf
ATOMIC_POSITIONS crystal
Re 0.000 0.000 0.012
Re 0.500 0.500 0.235
Ru 0.000 0.000 0.521
W 0.500 0.500 0.732
CELL_PARAMETERS angstrom
3.235 0.000 0.000
0.000 3.235 0.000
0.000 0.000 5.855
! * crystal system: tetragonal

---

# 3
! ReRuW2 (GGA-PBE, optimized geometry); values from VASP
&SYSTEM
  ibrav = 0, nat = 4, ntyp = 3
/
ATOMIC_SPECIES
Re 186.21 Re.upf
Ru 101.07 Ru.upf
W 183.84 W.upf
ATOMIC_POSITIONS crystal
Re 0.000 0.000 0.518
Ru 0.500 0.500 0.739
W 0.000 0.000 0.986
W 0.500 0.500 0.256
CELL_PARAMETERS angstrom
-0.831 1.260 2.281
1.650 -1.826 1.194
6.367 5.341 -0.631
! * crystal system: orthorhombic

---

# 4
! Re2RuW (GGA-PBE, optimized geometry); values from VASP
&SYSTEM
  ibrav = 0, nat = 4, ntyp = 3
/
ATOMIC_SPECIES
Re 186.21 Re.upf
Ru 101.07 Ru.upf
W 183.84 W.upf
ATOMIC_POSITIONS crystal
Re 0.000 0.000 0.000
Re 0.000 0.500 0.500
Ru 0.500 0.500 0.000
W 0.500 0.000 0.500
CELL_PARAMETERS angstrom
-3.849 -0.838 0.220
0.679 -3.523 -1.537
0.523 -1.462 3.581
! * crystal system: tetragonal

---

# 5
! ReRu3W (GGA-PBE, optimized geometry); values from VASP
&SYSTEM
  ibrav = 0, nat = 10, ntyp = 3
/
ATOMIC_SPECIES
Re 186.21 Re.upf
Ru 101.07 Ru.upf
W 183.84 W.upf
ATOMIC_POSITIONS crystal
Re 0.993 0.151 0.742
Re 0.993 0.651 0.742
Ru 0.201 0.342 0.108
Ru 0.785 0.960 0.376
Ru 0.529 0.720 0.011
Ru 0.784 0.959 0.899
Ru 0.201 0.343 0.585
Ru 0.456 0.581 0.473
W 0.293 0.955 0.391
W 0.692 0.346 0.093
CELL_PARAMETERS angstrom
-1.213 -3.736 -3.285
5.909 -5.074 -3.676
1.889 -1.167 4.619
! * crystal system: triclinic

---

# 6
! ReRuW2 (GGA-PBE, optimized geometry); values from VASP
&SYSTEM
  ibrav = 0, nat = 4, ntyp = 3
/
ATOMIC_SPECIES
Re 186.21 Re.upf
Ru 101.07 Ru.upf
W 183.84 W.upf
ATOMIC_POSITIONS crystal
Re 0.000 0.000 0.507
Ru 0.500 0.500 0.748
W 0.000 0.000 0.988
W 0.500 0.500 0.257
CELL_PARAMETERS angstrom
2.750 0.000 0.000
0.000 3.976 0.000
0.000 0.000 5.643
! * crystal system: orthorhombic

---

# 7
! ReRuW2 (GGA-PBE, optimized geometry); values from VASP
&SYSTEM
  ibrav = 0, nat = 4, ntyp = 3
/
ATOMIC_SPECIES
Re 186.21 Re.upf
Ru 101.07 Ru.upf
W 183.84 W.upf
ATOMIC_POSITIONS crystal
Re 0.000 0.000 0.518
Ru 0.500 0.500 0.740
W 0.000 0.000 0.985
W 0.500 0.500 0.256
CELL_PARAMETERS angstrom
2.742 0.000 0.000
0.000 2.742 0.000
0.000 0.000 8.222
! * crystal system: tetragonal

---

# 8
! ReRuW2 (GGA-PBE, optimized geometry); values from VASP
&SYSTEM
  ibrav = 0, nat = 4, ntyp = 3
/
ATOMIC_SPECIES
Re 186.21 Re.upf
Ru 101.07 Ru.upf
W 183.84 W.upf
ATOMIC_POSITIONS crystal
Re 0.750 0.250 0.500
Ru 0.250 0.750 0.500
W 0.991 0.991 0.000
W 0.509 0.509 0.000
CELL_PARAMETERS angstrom
-4.753 -2.058 -0.211
-0.921 -3.236 -3.943
2.955 0.880 4.167
! * crystal system: orthorhombic

---

# 9
! Re2RuW (GGA-PBE, optimized geometry); values from VASP
&SYSTEM
  ibrav = 0, nat = 4, ntyp = 3
/
ATOMIC_SPECIES
Re 186.21 Re.upf
Ru 101.07 Ru.upf
W 183.84 W.upf
ATOMIC_POSITIONS crystal
Re 0.000 0.000 0.000
Re 0.500 0.500 0.000
Ru 0.500 0.000 0.500
W 0.000 0.500 0.500
CELL_PARAMETERS angstrom
4.802 0.002 0.000
-1.608 4.525 0.000
0.000 0.000 2.769
! * crystal system: orthorhombic

---

# 10
! Re2RuW (GGA-PBE, optimized geometry); values from VASP
&SYSTEM
  ibrav = 0, nat = 4, ntyp = 3
/
ATOMIC_SPECIES
Re 186.21 Re.upf
W 183.84 W.upf
Ru 101.07 Ru.upf
ATOMIC_POSITIONS crystal
Re 0.250 0.250 0.250
Re 0.750 0.750 0.750
W 0.500 0.500 0.500
Ru 0.000 0.000 0.000
CELL_PARAMETERS angstrom
0.000 3.121 3.121
3.121 0.000 3.121
3.121 3.121 0.000
! * crystal system: cubic

---

# 11
! ReRu4W (GGA-PBE, optimized geometry); values from VASP
&SYSTEM
  ibrav = 0, nat = 6, ntyp = 3
/
ATOMIC_SPECIES
Re 186.21 Re.upf
Ru 101.07 Ru.upf
W 183.84 W.upf
ATOMIC_POSITIONS crystal
Re 0.394 0.503 0.030
Ru 0.281 0.003 0.809
Ru 0.944 0.003 0.134
Ru 0.061 0.503 0.365
Ru 0.728 0.503 0.699
W 0.612 0.003 0.475
CELL_PARAMETERS angstrom
-2.008 -1.888 0.195
2.952 -3.019 1.167
0.044 2.662 6.776
! * crystal system: monoclinic

---

# 12
! ZnReRuW (GGA-PBE, optimized geometry); values from VASP
&SYSTEM
  ibrav = 0, nat = 4, ntyp = 4
/
ATOMIC_SPECIES
Re 186.21 Re.upf
Zn 65.41 Zn.upf
W 183.84 W.upf
Ru 101.07 Ru.upf
ATOMIC_POSITIONS crystal
Re 0.500 0.500 0.500
Zn 0.250 0.250 0.250
W 0.750 0.750 0.750
Ru 0.000 0.000 0.000
CELL_PARAMETERS angstrom
4.374 0.000 0.000
2.187 3.788 0.000
2.187 1.263 3.571
! * crystal system: cubic

---

Energy of formation from the pure elements for the records above, in order: 0.17; 0.28; 0.14; 0.06; 0.32; 0.18; 0.15; 0.20; 0.09; 0.33; -0.03; 0.08 eV/atom